A geometry-optimized K2TePO6 structure. Source: the Alexandria database, functional PBE.

## Properties
- E_tot (eV/atom) = -5.33
- volume (Å³/atom) = 11.5
- space-group type = Fm-3m
- raw formation energy (meV/atom) = -1279.2

Cell: 5.4555 5.4555 5.4555 Å, 60.00 60.00 60.00°
Atoms (fractional coordinates):
K (0.2500, 0.2500, 0.2500)
K (0.7500, 0.7500, 0.7500)
Te (0.0000, 0.0000, 0.0000)
P (0.5000, 0.5000, 0.5000)
O (0.2697, 0.2697, 0.7303)
O (0.2697, 0.7303, 0.2697)
O (0.2697, 0.7303, 0.7303)
O (0.7303, 0.2697, 0.2697)
O (0.7303, 0.2697, 0.7303)
O (0.7303, 0.7303, 0.2697)


A geometry-optimized Tl3Ag2RhCl9 structure. Source: the Alexandria database, functional PBE.

## Properties
- E_tot (eV/atom) = -3.14
- volume (Å³/atom) = 26.4
- space-group type = P-3m1
- raw formation energy (meV/atom) = -684.9

Cell: 7.2285 7.2285 8.7471 Å, 90.00 90.00 120.00°
Atoms (fractional coordinates):
Tl (0.0000, 0.0000, 0.0000)
Tl (0.3333, 0.6667, 0.6979)
Tl (0.6667, 0.3333, 0.3021)
Ag (0.3333, 0.6667, 0.1745)
Ag (0.6667, 0.3333, 0.8255)
Rh (0.0000, 0.0000, 0.5000)
Cl (0.0000, 0.5000, 0.0000)
Cl (0.1543, 0.3086, 0.3415)
Cl (0.1543, 0.8457, 0.3415)
Cl (0.3086, 0.1543, 0.6585)
Cl (0.5000, 0.0000, 0.0000)
Cl (0.5000, 0.5000, 0.0000)
Cl (0.6914, 0.8457, 0.3415)
Cl (0.8457, 0.1543, 0.6585)
Cl (0.8457, 0.6914, 0.6585)


A geometry-optimized BaTe2W structure. Source: the Alexandria database, functional PBE.

## Properties
- E_tot (eV/atom) = -4.80
- volume (Å³/atom) = 30.9
- space-group type = I-4m2
- raw formation energy (meV/atom) = 485.6

Cell: 4.6354 4.6354 11.5145 Å, 90.00 90.00 90.00°
Atoms (fractional coordinates):
Ba (0.0000, 0.0000, 0.0000)
Ba (0.5000, 0.5000, 0.5000)
Te (0.0000, 0.0000, 0.5000)
Te (0.0000, 0.5000, 0.7500)
Te (0.5000, 0.0000, 0.2500)
Te (0.5000, 0.5000, 0.0000)
W (0.0000, 0.5000, 0.2500)
W (0.5000, 0.0000, 0.7500)